## one
VASP calculation (PBE-GGA) on BeHgSe2 after structural relaxation.

```
8
Lattice="5.7918 0.0000 0.0000 0.0000 5.7918 0.0000 2.8959 2.8959 5.4747" Properties=species:S:1:pos:R:3 pbc="T T T"
Be 2.8959 2.8959 0.0000
Be 2.8959 5.7918 2.7374
Hg 0.0000 0.0000 0.0000
Hg 5.7918 2.8959 2.7374
Se 3.9662 1.4479 1.3687
Se 1.8255 4.3438 1.3687
Se 4.3438 4.7214 4.1060
Se 7.2397 6.8621 4.1060
```

Values from the calculation:
Theoretical density (g/cm3): 6.65
Total moment (μB/atom): 0.000

---

## two
VASP calculation (PBE-GGA) on BeHgSe2 after structural relaxation.

```
16
Lattice="-12.2582 -9.2608 0.5690 2.9974 -3.6955 4.4266 2.8122 5.4271 2.6266" Properties=species:S:1:pos:R:3 pbc="T T T"
Be -4.5462 -3.0742 1.4827
Be -1.9025 -4.4551 6.1394
Be 1.9318 -1.4425 3.2291
Be -8.3805 -6.0868 4.3930
Hg -2.7088 -1.6385 0.8173
Hg -3.7399 -5.8908 6.8049
Hg -0.2950 -2.3980 3.3194
Hg -6.1537 -5.1313 4.3027
Se -9.6264 -5.0040 2.9377
Se 3.1777 -2.5252 4.6845
Se -2.6689 -3.0568 4.6229
Se -3.7798 -4.4725 2.9992
Se 1.8034 0.5919 3.9626
Se -8.2521 -8.1211 3.6596
Se 0.7308 -2.5621 6.8265
Se -7.1795 -4.9672 0.7957
```

Values from the calculation:
Theoretical density (g/cm3): 6.32
Total moment (μB/atom): 0.000

---

Most stable structure: one

---

## one
VASP calculation (PBE-GGA) on BeHgSe2 after structural relaxation.

```
8
Lattice="-1.4835 11.5842 6.2897 -1.2866 -10.2930 -8.2677 -2.7501 -1.8040 2.6739" Properties=species:S:1:pos:R:3 pbc="T T T"
Be -2.0403 -3.3910 -2.7064
Be -3.4799 2.8782 3.4024
Hg -1.9819 -9.8782 -7.0231
Hg -3.5383 9.3654 7.7190
Se -2.0238 -5.2239 -3.9260
Se -3.4964 4.7111 4.6220
Se -2.1472 8.4764 5.1903
Se -3.3731 -8.9892 -4.4944
```

Values from the calculation:
Theoretical density (g/cm3): 6.02
Total moment (μB/atom): 0.000

---

## two
VASP calculation (PBE-GGA) on BeHgSe2 after structural relaxation.

```
4
Lattice="3.0792 0.0202 0.0000 -1.1275 2.8654 0.0000 0.0000 0.0000 9.7269" Properties=species:S:1:pos:R:3 pbc="T T T"
Be 0.0000 0.0000 4.6927
Hg 0.9758 1.4428 6.8230
Se 0.0000 0.0000 9.4219
Se 0.9758 1.4428 3.3797
```

Values from the calculation:
Theoretical density (g/cm3): 7.09
Total moment (μB/atom): 0.000

---

Most stable structure: one

---

## one
VASP calculation (PBE-GGA) on BeHg2Se after structural relaxation.

```
4
Lattice="-2.7485 1.2577 -0.2247 -0.8969 -2.2791 -1.7854 -2.6180 -4.4676 7.0181" Properties=species:S:1:pos:R:3 pbc="T T T"
Be -3.7862 -3.8614 4.2585
Hg -2.4583 -4.1951 6.5901
Hg -1.4687 -2.5063 3.9371
Se -2.4772 -1.6276 0.7495
```

Values from the calculation:
Theoretical density (g/cm3): 10.14
Total moment (μB/atom): 0.000

---

## two
VASP calculation (PBE-GGA) on BeHg2Se after structural relaxation.

```
8
Lattice="-4.6695 -1.0107 4.6132 2.4841 -6.0431 1.1905 1.5316 -1.8526 5.9250" Properties=species:S:1:pos:R:3 pbc="T T T"
Be -1.0927 -3.5269 2.9018
Be 1.4615 -5.7113 5.0087
Hg -2.0244 -1.8068 4.3151
Hg 1.1511 -4.4098 3.0002
Hg 0.4359 -4.2943 6.6713
Hg -0.8703 -7.3018 9.4708
Se 0.0000 0.0000 0.0000
Se -2.1153 -3.1950 6.7200
```

Values from the calculation:
Theoretical density (g/cm3): 8.49
Total moment (μB/atom): 0.000

---

Most stable structure: two

---

## one
VASP calculation (PBE-GGA) on BeHg2Se after structural relaxation.

```
4
Lattice="-1.1418 1.0371 -3.7372 -1.8037 -3.5909 -0.4454 -4.5487 2.0422 1.9564" Properties=species:S:1:pos:R:3 pbc="T T T"
Be -4.8843 0.2547 -0.6240
Hg -4.5322 2.0348 1.9493
Hg -2.2909 1.0285 0.9853
Se -2.6099 -0.7663 -1.6022
```

Values from the calculation:
Theoretical density (g/cm3): 9.28
Total moment (μB/atom): 0.000

---

## two
VASP calculation (PBE-GGA) on BeHg2Se after structural relaxation.

```
4
Lattice="3.6637 -0.0115 0.0107 1.8429 3.1665 0.0107 1.7515 1.0035 10.3722" Properties=species:S:1:pos:R:3 pbc="T T T"
Be 1.8197 1.0426 3.8550
Hg 5.4972 3.1496 0.1828
Hg 5.4222 3.1066 7.6824
Se 3.6547 2.0939 3.8917
```

Values from the calculation:
Theoretical density (g/cm3): 6.74
Total moment (μB/atom): 0.000

---

## three
VASP calculation (PBE-GGA) on BeHg2Se after structural relaxation.

```
4
Lattice="-0.2952 -0.8433 -3.3391 -1.4199 -2.0441 2.3987 -6.8990 4.2489 -0.4632" Properties=species:S:1:pos:R:3 pbc="T T T"
Be -6.0318 1.7430 -0.8176
Hg -6.6752 4.1110 -0.4482
Hg -3.6733 2.2623 -0.2466
Se -2.5823 -0.3815 -0.5860
```

Values from the calculation:
Theoretical density (g/cm3): 9.62
Total moment (μB/atom): 0.000

---

Most stable structure: two

---

## one
VASP calculation (PBE-GGA) on BeHg2Se after structural relaxation.

```
4
Lattice="-6.2621 -1.7559 0.0475 -4.0918 -5.0184 0.6097 -4.7629 -2.5436 3.6255" Properties=species:S:1:pos:R:3 pbc="T T T"
Be -11.3375 -6.9885 3.2120
Hg -0.2180 -0.1344 0.0618
Hg -7.3404 -4.5246 2.0796
Se -3.7792 -2.3295 1.0707
```

Values from the calculation:
Theoretical density (g/cm3): 9.83
Total moment (μB/atom): 0.000

---

## two
VASP calculation (PBE-GGA) on BeHg2Se after structural relaxation.

```
4
Lattice="-1.4533 0.9262 -3.4508 -0.4469 -3.7450 -0.8169 -5.9873 0.1554 2.5632" Properties=species:S:1:pos:R:3 pbc="T T T"
Be -3.2171 -1.7948 0.8731
Hg 0.0000 0.0000 0.0000
Hg -0.9501 -1.4094 -2.1339
Se -3.7203 0.5408 -0.4438
```

Values from the calculation:
Theoretical density (g/cm3): 8.38
Total moment (μB/atom): 0.000

---

## three
VASP calculation (PBE-GGA) on BeHg2Se after structural relaxation.

```
4
Lattice="-5.4771 3.9041 1.2680 1.1341 -6.7174 0.6620 -1.3669 -1.0502 3.4956" Properties=species:S:1:pos:R:3 pbc="T T T"
Be -0.1164 -3.8838 2.0788
Hg 0.0000 0.0000 0.0000
Hg -2.1715 -1.4067 0.9650
Se -3.4220 1.4269 2.3818
```

Values from the calculation:
Theoretical density (g/cm3): 8.77
Total moment (μB/atom): 0.000

---

## four
VASP calculation (PBE-GGA) on BeHg2Se after structural relaxation.

```
4
Lattice="-4.6114 -1.8926 0.2140 1.2030 -3.8800 -2.8966 2.5784 1.0720 4.1346" Properties=species:S:1:pos:R:3 pbc="T T T"
Be -1.8686 -1.8534 1.5037
Hg 0.0000 0.0000 0.0000
Hg 1.0386 -2.8472 -0.0517
Se -1.7042 -2.8863 -1.3413
```

Values from the calculation:
Theoretical density (g/cm3): 9.49
Total moment (μB/atom): 0.000

---

Most stable structure: one

---

## one
VASP calculation (PBE-GGA) on BeHg3Se after structural relaxation.

```
5
Lattice="-3.1823 -3.2830 -1.7514 -1.7487 -0.7147 4.5171 -3.2845 3.5614 -0.7080" Properties=species:S:1:pos:R:3 pbc="T T T"
Be 0.0000 0.0000 0.0000
Hg -0.8744 -0.3574 2.2585
Hg -1.6422 1.7807 -0.3540
Hg -1.5911 -1.6415 -0.8757
Se -4.1077 -0.2182 1.0288
```

Values from the calculation:
Theoretical density (g/cm3): 9.76
Total moment (μB/atom): 0.000

---

## two
VASP calculation (PBE-GGA) on BeHg3Se after structural relaxation.

```
5
Lattice="-5.0877 0.3726 2.3688 -2.1061 -3.3505 -3.9966 1.1464 -4.5022 3.1703" Properties=species:S:1:pos:R:3 pbc="T T T"
Be -3.0237 -3.7401 0.7712
Hg -1.0531 -1.6753 -1.9983
Hg 0.5732 -2.2511 1.5851
Hg -2.5438 0.1863 1.1844
Se 0.0000 0.0000 0.0000
```

Values from the calculation:
Theoretical density (g/cm3): 6.44
Total moment (μB/atom): 0.000

---

Most stable structure: one

---

## one
VASP calculation (PBE-GGA) on Be2SiHg after structural relaxation.

```
4
Lattice="3.5307 -0.2969 -0.8781 1.8954 2.9936 -0.8781 -0.8868 -0.4407 6.2695" Properties=species:S:1:pos:R:3 pbc="T T T"
Be 0.2021 0.1004 0.3647
Be 1.9558 0.9720 -0.3257
Si 2.6866 1.3352 4.5836
Hg 1.9645 0.9763 2.1473
```

Values from the calculation:
Theoretical density (g/cm3): 6.15
Total moment (μB/atom): 0.000

---

## two
VASP calculation (PBE-GGA) on Be2SiHg after structural relaxation.

```
4
Lattice="3.8273 0.0000 0.0000 0.0000 3.6994 -0.0243 0.0000 0.0376 4.4129" Properties=species:S:1:pos:R:3 pbc="T T T"
Be 0.0000 0.0030 0.1020
Be 1.9136 3.7088 1.1527
Si 1.9136 3.7278 3.3617
Hg 0.0000 1.8655 1.9422
```

Values from the calculation:
Theoretical density (g/cm3): 6.56
Total moment (μB/atom): 0.000

---

## three
VASP calculation (PBE-GGA) on Be2SiHg after structural relaxation.

```
4
Lattice="-2.5259 -0.1698 1.2450 -1.0511 -0.6415 -2.5383 1.1034 -6.9280 1.2940" Properties=species:S:1:pos:R:3 pbc="T T T"
Be 1.0542 -6.6192 1.2364
Be 0.6009 -3.7728 0.7047
Si -0.9610 -5.6016 0.3239
Hg -1.5127 -2.1376 -0.3231
```

Values from the calculation:
Theoretical density (g/cm3): 7.22
Total moment (μB/atom): 0.000

---

Most stable structure: one

---

## one
VASP calculation (PBE-GGA) on Be2SiHg after structural relaxation.

```
4
Lattice="0.0000 3.0443 3.0443 3.0443 0.0000 3.0443 3.0443 3.0443 0.0000" Properties=species:S:1:pos:R:3 pbc="T T T"
Be 1.5222 1.5222 1.5222
Be 4.5665 4.5665 4.5665
Si 0.0000 0.0000 0.0000
Hg 3.0443 3.0443 3.0443
```

Values from the calculation:
Theoretical density (g/cm3): 7.26
Total moment (μB/atom): 0.000

---

## two
VASP calculation (PBE-GGA) on Be2SiHg after structural relaxation.

```
4
Lattice="-1.7921 -0.1278 -5.9662 -3.9658 -3.3375 -3.4579 1.4790 3.5592 4.8958" Properties=species:S:1:pos:R:3 pbc="T T T"
Be -5.2936 -3.1859 -8.6642
Be -2.9172 -0.8965 -2.0207
Si -1.6321 0.8276 -2.9504
Hg -3.0728 -1.8493 -5.0294
```

Values from the calculation:
Theoretical density (g/cm3): 6.81
Total moment (μB/atom): 0.000

---

## three
VASP calculation (PBE-GGA) on Be2SiHg after structural relaxation.

```
4
Lattice="2.5790 0.0000 0.0000 0.0000 3.3832 0.0000 0.0000 0.0000 6.9549" Properties=species:S:1:pos:R:3 pbc="T T T"
Be 0.0000 0.0000 0.1813
Be 1.2895 1.6916 1.2415
Si 1.2895 1.6916 5.8946
Hg 0.0000 0.0000 3.1150
```

Values from the calculation:
Theoretical density (g/cm3): 6.75
Total moment (μB/atom): 0.000

---

Most stable structure: two